This record from Alexandria describes Th3Co5H12 after structural relaxation. The functional is PBE.

abc: 9.917 9.917 9.917
angles: 109.47 109.47 109.47
Site moments in Bohr magnetons follow the coordinates.
Fractional positions:
Th 0.250 0.625 0.875  0.08
Th 0.875 0.750 0.125  0.08
Th 0.375 0.750 0.625  0.08
Th 0.375 0.625 0.250  0.08
Th 0.625 0.375 0.750  0.08
Th 0.875 0.125 0.250  0.08
Th 0.750 0.375 0.125  0.08
Th 0.250 0.125 0.375  0.08
Th 0.750 0.875 0.625  0.08
Th 0.625 0.250 0.375  0.08
Th 0.125 0.875 0.750  0.08
Th 0.125 0.250 0.875  0.08
H 0.592 0.002 0.681  0.00
H 0.910 0.321 0.502  0.00
H 0.090 0.412 0.092  0.00
H 0.912 0.819 0.821  0.00
H 0.679 0.090 0.998  0.00
H 0.179 0.681 0.088  0.00
H 0.588 0.910 0.408  0.00
H 0.321 0.412 0.819  0.00
H 0.408 0.410 0.588  0.00
H 0.092 0.181 0.502  0.00
H 0.002 0.410 0.321  0.00
H 0.090 0.679 0.498  0.00
H 0.502 0.681 0.092  0.00
H 0.321 0.910 0.002  0.00
H 0.498 0.319 0.908  0.00
H 0.821 0.502 0.410  0.00
H 0.821 0.319 0.912  0.00
H 0.590 0.998 0.179  0.00
H 0.412 0.321 0.319  0.00
H 0.181 0.092 0.002  0.00
H 0.410 0.002 0.821  0.00
H 0.092 0.912 0.090  0.00
H 0.998 0.408 0.819  0.00
H 0.681 0.502 0.592  0.00
H 0.819 0.908 0.998  0.00
H 0.592 0.590 0.412  0.00
H 0.912 0.092 0.590  0.00
H 0.590 0.592 0.912  0.00
H 0.498 0.179 0.090  0.00
H 0.502 0.821 0.910  0.00
H 0.181 0.088 0.679  0.00
H 0.998 0.590 0.679  0.00
H 0.002 0.592 0.181  0.00
H 0.908 0.819 0.498  0.00
H 0.588 0.679 0.681  0.00
H 0.319 0.821 0.412  0.00
H 0.910 0.588 0.908  0.00
H 0.179 0.498 0.590  0.00
H 0.088 0.181 0.179  0.00
H 0.908 0.088 0.910  0.00
H 0.408 0.998 0.319  0.00
H 0.679 0.588 0.181  0.00
H 0.410 0.408 0.088  0.00
H 0.412 0.090 0.592  0.00
H 0.819 0.912 0.321  0.00
H 0.088 0.908 0.410  0.00
H 0.319 0.498 0.408  0.00
H 0.681 0.179 0.588  0.00
Co 0.375 0.250 0.125  -0.63
Co 0.875 0.250 0.625  -0.63
Co 0.000 0.000 0.500  0.87
Co 0.000 0.500 0.500  0.87
Co 0.375 0.125 0.750  -0.63
Co 0.500 0.000 0.500  0.87
Co 0.750 0.125 0.875  -0.63
Co 0.125 0.750 0.375  -0.63
Co 0.125 0.375 0.250  -0.63
Co 0.625 0.875 0.250  -0.63
Co 0.250 0.875 0.125  -0.63
Co 0.750 0.625 0.375  -0.63
Co 0.500 0.500 0.000  0.87
Co 0.500 0.500 0.500  0.87
Co 0.000 0.000 0.000  0.87
Co 0.875 0.625 0.750  -0.63
Co 0.000 0.500 0.000  0.87
Co 0.250 0.375 0.625  -0.63
Co 0.625 0.750 0.875  -0.63
Co 0.500 0.000 0.000  0.87

Results
Theoretical density ... 8.87 Mg/m³
VASP energy ... -5.050 eV per atom

***

This record from Alexandria describes ThCo3H6 after structural relaxation. The functional is PBE.

abc: 4.485 4.485 5.441
angles: 90.00 114.34 120.00
Site moments in Bohr magnetons follow the coordinates.
Fractional positions:
Co 0.129 0.065 0.194  0.75
Co 0.346 0.673 0.018  0.80
Co 0.686 0.343 0.028  0.80
H 0.373 0.438 0.802  0.00
H 0.526 0.438 0.237  -0.01
H 0.364 0.935 0.802  0.00
H 0.867 0.429 0.802  0.00
H 0.148 0.710 0.237  -0.01
H 0.798 0.088 0.237  -0.01
Th 0.762 0.881 0.643  -0.01

Results
Theoretical density ... 8.26 Mg/m³
VASP energy ... -5.097 eV per atom

***

This record from Alexandria describes ThCo2H8 after structural relaxation. The functional is PBE.

abc: 4.142 4.142 5.731
angles: 111.18 111.18 90.00
Fractional positions:
Co 0.750 0.250 0.500
Co 0.250 0.750 0.500
H 0.383 0.383 0.330
H 0.948 0.383 0.330
H 0.383 0.948 0.330
H 0.948 0.948 0.330
H 0.617 0.052 0.670
H 0.052 0.052 0.670
H 0.617 0.617 0.670
H 0.052 0.617 0.670
Th 0.500 0.500 0.000

Results
Theoretical density ... 7.03 Mg/m³
Polymorph energy (0 for the lowest one) ... 66.1 kJ/mol of formula units
VASP energy ... -4.446 eV per atom

***

> The lowest theoretical density belongs to which entry?

ThCo2H8